VASP calculation (PBE) on a relaxed structure of DyHo5Er.

Properties
VASP energy in Ha/atom: -0.166
N(E_F) in states/eV per cell: 21.8
Formation enthalpy at 0 K in eV per formula unit: 0.47
Energy above the most stable polymorph in this dataset in eV per atom: 0.000

Geometry as extended XYZ:
```
14
Lattice="-2.759 2.166 -0.638 2.004 -0.074 -8.916 -8.726 -10.612 1.702" Properties=species:S:1:pos:R:3 pbc="T T T"
Ho -0.171 -0.842 -7.100
Ho -4.013 -3.504 0.475
Ho -3.624 -4.701 -5.271
Dy -2.801 0.475 -1.220
Er -2.647 -2.674 -2.614
Ho -6.285 -7.154 -2.092
Ho -0.524 -0.292 -3.704
Ho -8.956 -8.227 -4.148
Ho -9.309 -7.677 -0.752
Ho -5.468 -5.016 -8.327
Dy -6.680 -8.994 -6.632
Er -6.833 -5.845 -5.238
Ho -5.857 -3.818 -2.581
Ho -3.196 -1.366 -5.760
```